Below is a relaxed TaNiPt2 crystal, with properties calculated at the GGA-PBEsol level.

Properties
energy of formation from the pure elements = -0.677 eV/atom

Cell lengths 3.832, 3.832, 4.740 Å; angles 113.84, 113.84, 90.00 degrees
Positions (direct):
Pt 0.250 0.750 0.500
Ta 0.500 0.500 0.000
Ni 0.000 0.000 0.000
Pt 0.750 0.250 0.500

---

Below is a relaxed LiPb3Br crystal, with properties calculated at the GGA-PBEsol level.

Properties
E_form (uncorrected) = 0.358 eV per atom

Cell lengths 5.690, 5.690, 5.690 Å; angles 90.00, 90.00, 90.00 degrees
Positions (direct):
Pb 0.000 0.000 0.500
Pb 0.500 0.000 0.000
Br 0.000 0.000 0.000
Pb 0.000 0.500 0.000
Li 0.500 0.500 0.500

---

Below is a relaxed YTcOs crystal, with properties calculated at the GGA-PBEsol level.

Properties
energy of formation from the pure elements = 0.516 eV/atom

Cell lengths 4.397, 4.397, 4.397 Å; angles 60.00, 60.00, 60.00 degrees
Positions (direct):
Os 0.250 0.250 0.250
Tc 0.000 0.000 0.000
Y 0.500 0.500 0.500

---

Record-wise E values, in eV per atom: -8.836; -2.809; -9.586
Record-wise V values, in A^3/atom: 14.28; 36.84; 20.04